{"formula": "La2BiMoPb", "functional": "meta-GGA SCAN", "state": "PBEsol geometry", "lattice": [[5.764, 0.000, 0.000], [0.000, 6.010, 0.000], [0.000, 0.000, 6.010]], "species": ["Pb", "Mo", "Bi", "La", "La"], "fractional_positions": [[0.500, 0.000, 0.000], [0.500, 0.500, 0.500], [0.000, 0.000, 0.000], [0.000, 0.000, 0.500], [0.000, 0.500, 0.000]], "sg": "No. 123", "mass_density_kg_m3": 6299, "delta_e_f_ev_per_atom": 0.854, "dos_ef_per_ev_atom": 0.7353}